No. 1
{
  "formula": "LiOsAu2Cl",
  "functional": "PBE-GGA",
  "state": "relaxed",
  "spacegroup": "P4/mmm, No. 123",
  "rho_g_cm3": 8.501,
  "total_energy_ev_per_atom": -3.7960,
  "formation_energy_uncorrected_mev_per_atom": 513,
  "lattice": [[5.264, 0.000, 0.000], [0.000, 5.264, 0.000], [0.000, 0.000, 4.417]],
  "species": ["Li", "Os", "Au", "Au", "Cl"],
  "fractional_positions": [[0.000, 0.000, 0.000], [0.500, 0.500, 0.500], [0.000, 0.500, 0.500], [0.500, 0.000, 0.500], [0.500, 0.500, 0.000]]
}



No. 2
{
  "formula": "Li2PdAuCl6",
  "functional": "PBE-GGA",
  "state": "relaxed",
  "spacegroup": "P1, No. 1",
  "rho_g_cm3": 3.634,
  "total_energy_ev_per_atom": -3.2159,
  "formation_energy_uncorrected_mev_per_atom": -878,
  "lattice": [[6.487, 0.000, 0.000], [-1.629, 6.336, 0.000], [-3.134, -2.301, 5.892]],
  "species": ["Li", "Li", "Pd", "Au", "Cl", "Cl", "Cl", "Cl", "Cl", "Cl"],
  "fractional_positions": [[0.000, 0.000, 0.000], [0.104, 0.604, 0.500], [0.474, 0.717, 0.099], [0.500, 0.235, 0.598], [0.090, 0.222, 0.373], [0.259, 0.893, 0.866], [0.325, 0.819, 0.335], [0.631, 0.644, 0.865], [0.667, 0.522, 0.313], [0.910, 0.256, 0.807]]
}



No. 3
{
  "formula": "Rb2LiAu2Cl6",
  "functional": "PBE-GGA",
  "state": "relaxed",
  "spacegroup": "C2/m, No. 12",
  "rho_g_cm3": 3.942,
  "total_energy_ev_per_atom": -3.0162,
  "formation_energy_uncorrected_mev_per_atom": -1063,
  "lattice": [[7.167, -3.436, 0.000], [7.167, 3.436, 0.000], [-3.887, 0.000, 6.709]],
  "species": ["Rb", "Rb", "Li", "Au", "Au", "Cl", "Cl", "Cl", "Cl", "Cl", "Cl"],
  "fractional_positions": [[0.226, 0.226, 0.202], [0.774, 0.774, 0.798], [0.000, 0.000, 0.500], [0.440, 0.440, 0.753], [0.560, 0.560, 0.247], [0.176, 0.696, 0.222], [0.258, 0.258, 0.671], [0.304, 0.824, 0.778], [0.696, 0.176, 0.222], [0.742, 0.742, 0.329], [0.824, 0.304, 0.778]]
}



No. 4
{
  "formula": "LiScAu2Cl",
  "functional": "PBE-GGA",
  "state": "relaxed",
  "spacegroup": "P4/mmm, No. 123",
  "rho_g_cm3": 8.067,
  "total_energy_ev_per_atom": -3.6881,
  "formation_energy_uncorrected_mev_per_atom": -359,
  "lattice": [[4.778, 0.000, 0.000], [0.000, 4.778, 0.000], [0.000, 0.000, 4.339]],
  "species": ["Li", "Sc", "Au", "Au", "Cl"],
  "fractional_positions": [[0.000, 0.000, 0.000], [0.500, 0.500, 0.500], [0.000, 0.500, 0.000], [0.500, 0.000, 0.000], [0.000, 0.000, 0.500]]
}